[1]
ScPPdO2 | Alexandria via LeMat-Bulk | PBE | optimized geometry; ΔE_f (raw) = -484 meV/atom; distance to the lowest polymorph of the same formula = 0.2672 eV per atom; energy = -29.27 eV per formula unit
1.0
-3.275 -1.774 1.321
2.168 -2.110 2.543
-0.525 3.401 3.268
Sc P O Pd
1 1 2 1
Direct
0.500 0.500 0.500
0.000 0.000 0.500
0.000 0.500 0.000
0.500 0.000 0.000
0.000 0.000 0.000


[2]
La2AgPt2 | Alexandria via LeMat-Bulk | PBE | optimized geometry; formation energy from the elements = -955 meV/atom; distance to the lowest polymorph of the same formula = 0.0000 eV per atom; energy = -29.56 eV per formula unit
1.0
-6.760 -1.229 3.910
-3.782 -1.034 -6.864
0.782 -3.835 0.147
Ag Pt La
2 4 4
Direct
0.000 0.000 0.000
0.500 0.500 0.000
0.368 0.868 0.000
0.868 0.632 0.000
0.632 0.132 0.000
0.132 0.368 0.000
0.170 0.670 0.500
0.670 0.830 0.500
0.830 0.330 0.500
0.330 0.170 0.500